! Li8Pd5Au, relaxed, DFT PBE-GGA; values from VASP
&SYSTEM
  ibrav = 0, nat = 14, ntyp = 3
/
ATOMIC_SPECIES
Li 6.94 Li.upf
Pd 106.42 Pd.upf
Au 196.97 Au.upf
CELL_PARAMETERS angstrom
6.445 -0.035 0.060
-2.214 6.053 -0.060
-2.018 -3.078 5.292
ATOMIC_POSITIONS crystal
Li 0.759 0.265 0.359
Li 0.589 0.922 0.861
Li 0.139 0.729 0.061
Li 0.094 0.735 0.494
Li 0.939 0.078 0.667
Li 0.641 0.400 0.906
Li 0.506 0.600 0.241
Li 0.333 0.271 0.411
Pd 0.026 0.329 0.118
Pd 0.789 0.671 0.697
Pd 0.500 0.000 0.500
Pd 0.303 0.092 0.974
Pd 0.882 0.908 0.211
Au 0.250 0.500 0.750
! Crystal system: tetragonal
! ΔE_f: -0.2729 eV per atom

! TaCr2Os, relaxed, DFT PBE-GGA; values from VASP
&SYSTEM
  ibrav = 0, nat = 4, ntyp = 3
/
ATOMIC_SPECIES
Ta 180.95 Ta.upf
Os 190.23 Os.upf
Cr 52.00 Cr.upf
CELL_PARAMETERS angstrom
-1.957 -2.522 3.747
3.197 -1.555 3.404
-0.952 4.278 -2.242
ATOMIC_POSITIONS crystal
Ta 0.750 0.250 0.500
Os 0.250 0.750 0.500
Cr 0.500 0.500 0.000
Cr 0.000 0.000 0.000
! Crystal system: tetragonal
! ΔE_f: 0.2007 eV per atom
! Polymorph energy (0 for the lowest one): 0.238 eV per atom

! LiErLuFe, relaxed, DFT PBE-GGA; values from VASP
&SYSTEM
  ibrav = 0, nat = 4, ntyp = 4
/
ATOMIC_SPECIES
Lu 174.97 Lu.upf
Fe 55.84 Fe.upf
Li 6.94 Li.upf
Er 167.26 Er.upf
CELL_PARAMETERS angstrom
4.765 0.000 0.000
2.383 4.127 0.000
2.383 1.376 3.891
ATOMIC_POSITIONS crystal
Lu 0.250 0.250 0.250
Fe 0.000 0.000 0.000
Li 0.500 0.500 0.500
Er 0.750 0.750 0.750
! Crystal system: cubic
! ΔE_f: 0.0473 eV per atom

> What is the ΔE_f in the second record?

0.2007 eV per atom

> ΔE_f of number 3 (LiErLuFe)?

0.0473 eV per atom